Record 1
First-principles (GGA+U) data for a geometry-optimized NiBiPtO6 structure, as listed in Alexandria.

Geometry as POSCAR:
```
NiBiPtO6
1.0
-3.9635 0.3565 -2.6038
0.9085 -4.2354 -1.9628
-5.0315 -4.3526 7.0631
Ni Bi Pt O
2 2 2 12
direct
0.5000 0.5000 0.4993
0.0000 0.0000 0.9993
0.5000 0.5000 0.1677
0.0000 0.0000 0.6677
0.5000 0.5000 0.8341
0.0000 0.0000 0.3341
0.1946 0.8054 0.4888
0.8054 0.1946 0.4888
0.3054 0.3054 0.9888
0.6946 0.6946 0.9888
0.1800 0.8200 0.1697
0.8200 0.1800 0.1697
0.3200 0.3200 0.6697
0.6800 0.6800 0.6697
0.7953 0.2047 0.8409
0.2047 0.7953 0.8409
0.7047 0.7047 0.3409
0.2953 0.2953 0.3409
```

* E_tot: -5.39 eV per atom
* V: 219.45 Å³/cell


Record 2
First-principles (GGA+U) data for a geometry-optimized NiBi2PtO6 structure, as listed in Alexandria.

Geometry as POSCAR:
```
NiBi2PtO6
1.0
5.6932 0.0067 -0.0005
2.8413 4.9355 -0.0302
2.8457 1.6762 4.6123
Ni Bi Pt O
1 2 1 6
direct
0.8093 0.8093 0.5722
0.5390 0.5391 0.3830
0.0344 0.0346 0.8966
0.3170 0.3170 0.0491
0.5969 0.1515 0.2675
0.1516 0.9840 0.2677
0.9841 0.5967 0.2675
0.4775 0.6485 0.7703
0.6485 0.1035 0.7705
0.1034 0.4773 0.7707
```

* E_tot: -5.57 eV per atom
* V: 129.80 Å³/cell


Record 3
First-principles (GGA+U) data for a geometry-optimized NiBiPt2O8 structure, as listed in Alexandria.

Geometry as POSCAR:
```
NiBiPt2O8
1.0
-1.1789 2.0142 4.6011
-3.7092 -2.0371 -2.9511
0.9689 -5.8059 2.7899
Ni Bi Pt O
1 1 2 8
direct
0.0000 0.0000 0.0000
0.0000 0.0000 0.5000
0.6667 0.3333 0.0000
0.3333 0.6667 0.0000
0.0000 0.6653 0.8327
0.3347 0.3347 0.8327
0.6653 0.0000 0.8327
0.0000 0.3347 0.1673
0.6653 0.6653 0.1673
0.3347 0.0000 0.1673
0.6667 0.3333 0.5000
0.3333 0.6667 0.5000
```

* E_tot: -5.03 eV per atom
* V: 150.15 Å³/cell


Record 4
First-principles (GGA+U) data for a geometry-optimized NiBiRh2O8 structure, as listed in Alexandria.

Geometry as POSCAR:
```
NiBiRh2O8
1.0
-1.1866 -1.7838 -5.6463
3.6283 -3.7622 3.0252
-5.2557 0.2138 2.9670
Ni Bi Rh O
1 1 2 8
direct
0.0000 0.0000 0.0000
0.2500 0.7500 0.5000
0.7500 0.2500 0.5000
0.5000 0.5000 0.0000
0.3720 0.0537 0.3183
0.2885 0.4624 0.1739
0.2885 0.1146 0.8261
0.7354 0.0537 0.6817
0.8854 0.7115 0.1739
0.9463 0.2646 0.3183
0.9463 0.6280 0.6817
0.5376 0.7115 0.8261
```

* E_tot: -5.46 eV per atom
* V: 168.84 Å³/cell


Record 5
First-principles (GGA+U) data for a geometry-optimized NiBi2RuO8 structure, as listed in Alexandria.

Geometry as POSCAR:
```
NiBi2RuO8
1.0
4.8000 0.0027 0.0025
0.0108 4.7944 -0.0052
-0.0046 0.0087 6.7079
Ni Bi Ru O
1 2 1 8
direct
0.0000 0.0000 0.5000
0.5000 0.5000 0.7462
0.5000 0.5000 0.2538
0.0000 0.0000 0.0000
0.1787 0.8195 0.2346
0.7093 0.7117 0.0000
0.8214 0.1806 0.2346
0.8213 0.1805 0.7654
0.2907 0.2883 0.0000
0.1786 0.8194 0.7654
0.7035 0.7053 0.5000
0.2965 0.2947 0.5000
```

* E_tot: -5.82 eV per atom
* V: 154.37 Å³/cell


Record 6
First-principles (GGA+U) data for a geometry-optimized NiBiSbO6 structure, as listed in Alexandria.

Geometry as POSCAR:
```
NiBiSbO6
1.0
-1.3275 -2.3423 -3.9980
4.4516 0.5095 -1.7766
2.5671 -8.3476 4.0383
Ni Bi Sb O
2 2 2 12
direct
0.5000 0.5000 0.4995
0.0000 0.0000 0.9995
0.5000 0.5000 0.1679
0.0000 0.0000 0.6679
0.5000 0.5000 0.8330
0.0000 0.0000 0.3330
0.1948 0.8052 0.4915
0.8052 0.1948 0.4915
0.3052 0.3052 0.9915
0.6948 0.6948 0.9915
0.1851 0.8149 0.1706
0.8149 0.1851 0.1706
0.3149 0.3149 0.6706
0.6851 0.6851 0.6706
0.7978 0.2022 0.8377
0.2022 0.7978 0.8377
0.7022 0.7022 0.3377
0.2978 0.2978 0.3377
```

* E_tot: -5.60 eV per atom
* V: 223.54 Å³/cell